# PmGa3Au4, optimized geometry, DFT PBE
data_PmGa3Au4
_chemical_formula_sum 'Pm1 Ga3 Au4'
_cell_length_a 4.4393
_cell_length_b 4.4393
_cell_length_c 8.1724
_cell_angle_alpha 90.00
_cell_angle_beta 90.00
_cell_angle_gamma 90.00
_symmetry_space_group_name_H-M 'P 4/m m m'
_symmetry_Int_Tables_number 123
_symmetry_space_group_name_Hall '-P 4 2'
loop_
_atom_site_label
_atom_site_type_symbol
_atom_site_fract_x
_atom_site_fract_y
_atom_site_fract_z
Pm1 Pm 0.0000 0.0000 0.0000
Ga1 Ga 0.0000 0.0000 0.5000
Ga2 Ga 0.5000 0.5000 0.1497
Au1 Au 0.0000 0.5000 0.3145
# * E_form: -438 meV per atom
# * V: 20.13 Å³/atom
# * D(E_F): 4.978 states/eV/cell
# * magnetic moment: 0.00 μB per formula unit

# HfIr3O, optimized geometry, DFT PBE
data_HfIr3O
_chemical_formula_sum 'Hf1 Ir3 O1'
_cell_length_a 4.2004
_cell_length_b 4.2004
_cell_length_c 4.2004
_cell_angle_alpha 90.00
_cell_angle_beta 90.00
_cell_angle_gamma 90.00
_symmetry_space_group_name_H-M 'P m -3 m'
_symmetry_Int_Tables_number 221
_symmetry_space_group_name_Hall '-P 4 2 3'
loop_
_atom_site_label
_atom_site_type_symbol
_atom_site_fract_x
_atom_site_fract_y
_atom_site_fract_z
Hf1 Hf 0.0000 0.0000 0.0000
Ir1 Ir 0.0000 0.5000 0.5000
O1 O 0.5000 0.5000 0.5000
# * polymorph energy (0 for the lowest one): 0 meV per atom
# * V: 14.82 Å³/atom
# * formation energy from raw total energies: 122.2 meV/atom
# * D(E_F): 5.608 states/eV/cell
# * magnetic moment: 0.00 μB per formula unit

# Ac6Pr4Sm, optimized geometry, DFT PBE
data_Ac6Pr4Sm
_chemical_formula_sum 'Ac12 Pr8 Sm2'
_cell_length_a 8.6739
_cell_length_b 8.6739
_cell_length_c 12.9472
_cell_angle_alpha 90.00
_cell_angle_beta 90.00
_cell_angle_gamma 90.00
_symmetry_space_group_name_H-M 'I -4 2 m'
_symmetry_Int_Tables_number 121
_symmetry_space_group_name_Hall 'I -4 2'
loop_
_atom_site_label
_atom_site_type_symbol
_atom_site_fract_x
_atom_site_fract_y
_atom_site_fract_z
Ac1 Ac 0.0000 0.5000 0.0000
Ac2 Ac 0.1814 0.1814 0.2232
Pr1 Pr 0.1646 0.1646 0.9349
Sm1 Sm 0.0000 0.0000 0.5000
# * E_form: 352 meV per atom
# * polymorph energy (0 for the lowest one): 51 meV per atom
# * V: 44.28 Å³/atom
# * D(E_F): 36.538 states/eV/cell
# * magnetic moment: 0.01 μB per formula unit

# Na4Pu3GeN8, optimized geometry, DFT PBE
data_Na4Pu3GeN8
_chemical_formula_sum 'Na12 Pu9 Ge3 N24'
_cell_length_a 6.7528
_cell_length_b 6.7528
_cell_length_c 16.9462
_cell_angle_alpha 90.00
_cell_angle_beta 90.00
_cell_angle_gamma 120.00
_symmetry_space_group_name_H-M 'R -3 m'
_symmetry_Int_Tables_number 166
_symmetry_space_group_name_Hall '-R 3 2"'
loop_
_atom_site_label
_atom_site_type_symbol
_atom_site_fract_x
_atom_site_fract_y
_atom_site_fract_z
Na1 Na 0.0000 0.0000 0.0000
Na2 Na 0.0000 0.5000 0.0000
Pu1 Pu 0.0000 0.5000 0.5000
Ge1 Ge 0.0000 0.0000 0.5000
N1 N 0.0000 0.0000 0.2283
N2 N 0.0030 0.5015 0.7709
# * V: 13.94 Å³/atom
# * formation energy from raw total energies: -482.8 meV/atom
# * D(E_F): 44.715 states/eV/cell
# * magnetic moment: 7.94 μB per formula unit

# POsSe3, optimized geometry, DFT PBE
data_POsSe3
_chemical_formula_sum 'P1 Os1 Se3'
_cell_length_a 4.6367
_cell_length_b 4.6367
_cell_length_c 4.6367
_cell_angle_alpha 90.00
_cell_angle_beta 90.00
_cell_angle_gamma 90.00
_symmetry_space_group_name_H-M 'P m -3 m'
_symmetry_Int_Tables_number 221
_symmetry_space_group_name_Hall '-P 4 2 3'
loop_
_atom_site_label
_atom_site_type_symbol
_atom_site_fract_x
_atom_site_fract_y
_atom_site_fract_z
P1 P 0.0000 0.0000 0.0000
Os1 Os 0.5000 0.5000 0.5000
Se1 Se 0.0000 0.0000 0.5000
# * V: 19.94 Å³/atom
# * formation energy from raw total energies: 1396.6 meV/atom
# * D(E_F): 5.065 states/eV/cell
# * magnetic moment: 0.00 μB per formula unit

# PmGd2Ir, optimized geometry, DFT PBE
data_PmGd2Ir
_chemical_formula_sum 'Pm1 Gd2 Ir1'
_cell_length_a 3.5282
_cell_length_b 3.5282
_cell_length_c 8.9037
_cell_angle_alpha 90.00
_cell_angle_beta 90.00
_cell_angle_gamma 90.00
_symmetry_space_group_name_H-M 'P 4/m m m'
_symmetry_Int_Tables_number 123
_symmetry_space_group_name_Hall '-P 4 2'
loop_
_atom_site_label
_atom_site_type_symbol
_atom_site_fract_x
_atom_site_fract_y
_atom_site_fract_z
Pm1 Pm 0.0000 0.0000 0.0000
Gd1 Gd 0.5000 0.5000 0.3164
Ir1 Ir 0.0000 0.0000 0.5000
# * E_form: -372 meV per atom
# * polymorph energy (0 for the lowest one): 0 meV per atom
# * V: 27.71 Å³/atom
# * D(E_F): 5.157 states/eV/cell
# * magnetic moment: 14.24 μB per formula unit

- Which value of V does entry 4 give?
  13.94 Å³/atom

- Look up the D(E_F) of the second one.
  5.608 states/eV/cell

Please write out number 2 again, unchanged.
# HfIr3O, optimized geometry, DFT PBE
data_HfIr3O
_chemical_formula_sum 'Hf1 Ir3 O1'
_cell_length_a 4.2004
_cell_length_b 4.2004
_cell_length_c 4.2004
_cell_angle_alpha 90.00
_cell_angle_beta 90.00
_cell_angle_gamma 90.00
_symmetry_space_group_name_H-M 'P m -3 m'
_symmetry_Int_Tables_number 221
_symmetry_space_group_name_Hall '-P 4 2 3'
loop_
_atom_site_label
_atom_site_type_symbol
_atom_site_fract_x
_atom_site_fract_y
_atom_site_fract_z
Hf1 Hf 0.0000 0.0000 0.0000
Ir1 Ir 0.0000 0.5000 0.5000
O1 O 0.5000 0.5000 0.5000
# * polymorph energy (0 for the lowest one): 0 meV per atom
# * V: 14.82 Å³/atom
# * formation energy from raw total energies: 122.2 meV/atom
# * D(E_F): 5.608 states/eV/cell
# * magnetic moment: 0.00 μB per formula unit

- D(E_F) of number 2 (HfIr3O)?
  5.608 states/eV/cell